{
  "formula": "EuTmTe",
  "functional": "PBE",
  "state": "optimized geometry",
  "formation_energy_uncorrected_ev_per_atom": -0.577,
  "cell": [[4.196, 0.000, 0.000], [0.000, 5.210, 0.000], [0.000, -2.605, 4.512]],
  "species": ["Eu", "Tm", "Te"],
  "fractional_positions": [[0.666, 0.667, 0.333], [0.166, 0.000, 0.000], [0.169, 0.333, 0.667]]
}


{
  "formula": "EuTm2Te",
  "functional": "PBE",
  "state": "optimized geometry",
  "formation_energy_uncorrected_ev_per_atom": -0.258,
  "cell": [[3.832, 0.000, 0.000], [1.916, 3.318, 0.000], [1.916, 1.106, 11.025]],
  "species": ["Eu", "Tm", "Tm", "Te"],
  "fractional_positions": [[0.000, 0.000, 0.000], [0.105, 0.105, 0.685], [0.895, 0.895, 0.315], [0.500, 0.500, 0.500]]
}


{
  "formula": "EuVTe2",
  "functional": "PBE",
  "state": "optimized geometry",
  "formation_energy_uncorrected_ev_per_atom": -0.472,
  "cell": [[3.702, 0.000, 0.000], [0.000, 3.702, 0.000], [0.000, 0.000, 7.602]],
  "species": ["Eu", "Te", "Te", "V"],
  "fractional_positions": [[0.500, 0.500, 0.500], [0.000, 0.000, 0.777], [0.000, 0.000, 0.223], [0.500, 0.500, 0.000]]
}


{
  "formula": "EuY2Te",
  "functional": "PBE",
  "state": "optimized geometry",
  "formation_energy_uncorrected_ev_per_atom": -0.343,
  "cell": [[3.924, 0.000, 0.000], [1.962, 3.398, 0.000], [1.962, 1.133, 10.955]],
  "species": ["Eu", "Y", "Y", "Te"],
  "fractional_positions": [[0.000, 0.000, 0.000], [0.106, 0.106, 0.682], [0.894, 0.894, 0.318], [0.500, 0.500, 0.500]]
}


{
  "formula": "Eu2ZnTe",
  "functional": "PBE",
  "state": "optimized geometry",
  "formation_energy_uncorrected_ev_per_atom": -0.827,
  "polymorph_energy_ev_per_atom": 0.000,
  "cell": [[3.995, 0.000, 0.000], [0.000, 3.995, 0.000], [0.000, 0.000, 7.357]],
  "species": ["Eu", "Eu", "Zn", "Te"],
  "fractional_positions": [[0.000, 0.000, 0.753], [0.000, 0.000, 0.247], [0.500, 0.500, 0.000], [0.500, 0.500, 0.500]]
}


{
  "formula": "EuTh3",
  "functional": "PBE",
  "state": "optimized geometry",
  "ef_kcal_per_mol_atoms": 3.79,
  "polymorph_energy_ev_per_atom": 0.011,
  "cell": [[5.085, 0.000, 0.000], [0.000, 5.085, 0.000], [0.000, 0.000, 5.085]],
  "species": ["Eu", "Th", "Th", "Th"],
  "fractional_positions": [[0.000, 0.000, 0.000], [0.000, 0.500, 0.500], [0.500, 0.000, 0.500], [0.500, 0.500, 0.000]]
}


{
  "formula": "EuTh5",
  "functional": "PBE",
  "state": "optimized geometry",
  "ef_kcal_per_mol_atoms": 2.64,
  "cell": [[-2.757, 0.086, -4.261], [-2.993, -3.632, 1.863], [-3.046, 7.122, 2.115]],
  "species": ["Eu", "Th", "Th", "Th", "Th", "Th"],
  "fractional_positions": [[0.000, 0.000, 0.000], [0.000, 0.669, 0.338], [0.000, 0.331, 0.662], [0.500, 0.500, 0.000], [0.500, 0.168, 0.336], [0.500, 0.832, 0.664]]
}


{
  "formula": "EuTh3",
  "functional": "PBE",
  "state": "optimized geometry",
  "ef_kcal_per_mol_atoms": 3.78,
  "polymorph_energy_ev_per_atom": 0.011,
  "cell": [[-3.307, -3.448, 1.737], [1.987, -3.481, -3.127], [3.983, 2.104, 4.321]],
  "species": ["Eu", "Th", "Th", "Th"],
  "fractional_positions": [[0.000, 0.000, 0.000], [0.750, 0.250, 0.500], [0.250, 0.750, 0.500], [0.500, 0.500, 0.000]]
}


{
  "formula": "EuTh3",
  "functional": "PBE",
  "state": "optimized geometry",
  "ef_kcal_per_mol_atoms": 4.22,
  "polymorph_energy_ev_per_atom": 0.029,
  "cell": [[2.112, 2.096, -6.546], [-3.886, 4.435, 4.115], [5.021, 2.232, 2.335]],
  "species": ["Eu", "Eu", "Th", "Th", "Th", "Th", "Th", "Th"],
  "fractional_positions": [[0.333, 0.667, 0.750], [0.667, 0.333, 0.250], [0.164, 0.328, 0.250], [0.672, 0.836, 0.250], [0.164, 0.836, 0.250], [0.836, 0.672, 0.750], [0.328, 0.164, 0.750], [0.836, 0.164, 0.750]]
}


{
  "formula": "EuTh3",
  "functional": "PBE",
  "state": "optimized geometry",
  "ef_kcal_per_mol_atoms": 3.54,
  "polymorph_energy_ev_per_atom": 0.000,
  "cell": [[3.569, 0.000, 0.000], [0.000, 5.964, 0.000], [0.000, 0.000, 6.280]],
  "species": ["Eu", "Th", "Th", "Th"],
  "fractional_positions": [[0.000, 0.000, 0.012], [0.500, 0.000, 0.505], [0.500, 0.500, 0.814], [0.000, 0.500, 0.336]]
}


{
  "formula": "EuTh2",
  "functional": "PBE",
  "state": "optimized geometry",
  "ef_kcal_per_mol_atoms": 2.96,
  "polymorph_energy_ev_per_atom": 0.000,
  "cell": [[3.591, 0.000, 0.000], [0.000, 3.591, 0.000], [-1.796, -1.796, 7.972]],
  "species": ["Eu", "Th", "Th"],
  "fractional_positions": [[0.000, 0.000, 0.000], [0.674, 0.674, 0.348], [0.326, 0.326, 0.652]]
}


{
  "formula": "EuTh2",
  "functional": "PBE",
  "state": "optimized geometry",
  "ef_kcal_per_mol_atoms": 7.06,
  "polymorph_energy_ev_per_atom": 0.178,
  "cell": [[6.783, 0.000, 0.000], [3.392, 5.874, 0.000], [3.392, 1.958, 5.539]],
  "species": ["Eu", "Eu", "Th", "Th", "Th", "Th"],
  "fractional_positions": [[0.000, 0.000, 0.000], [0.250, 0.250, 0.250], [0.125, 0.625, 0.625], [0.625, 0.125, 0.625], [0.625, 0.625, 0.625], [0.625, 0.625, 0.125]]
}


{
  "formula": "Eu6Th",
  "functional": "PBE",
  "state": "optimized geometry",
  "ef_kcal_per_mol_atoms": 27.82,
  "cell": [[-3.074, -2.442, -5.932], [2.271, -5.482, 3.923], [-4.724, 3.790, 3.731]],
  "species": ["Eu", "Eu", "Eu", "Eu", "Eu", "Eu", "Th"],
  "fractional_positions": [[0.250, 0.750, 0.500], [0.500, 0.750, 0.250], [0.250, 0.500, 0.750], [0.750, 0.250, 0.500], [0.500, 0.250, 0.750], [0.750, 0.500, 0.250], [0.000, 0.000, 0.000]]
}


{
  "formula": "EuTh3",
  "functional": "PBE",
  "state": "optimized geometry",
  "ef_kcal_per_mol_atoms": 3.56,
  "polymorph_energy_ev_per_atom": 0.001,
  "cell": [[3.579, 0.000, 0.000], [0.000, 6.260, 0.000], [-1.789, -3.130, 5.960]],
  "species": ["Eu", "Th", "Th", "Th"],
  "fractional_positions": [[0.000, 0.999, 0.000], [0.245, 0.579, 0.490], [0.500, 0.500, 0.000], [0.755, 0.089, 0.510]]
}


{
  "formula": "Eu2ThTl",
  "functional": "PBE",
  "state": "optimized geometry",
  "ef_kcal_per_mol_atoms": 2.81,
  "polymorph_energy_ev_per_atom": 0.194,
  "cell": [[-3.230, 1.293, -0.756], [-1.133, 0.099, -3.374], [-6.320, -10.926, -0.077]],
  "species": ["Eu", "Eu", "Tl", "Th"],
  "fractional_positions": [[0.094, 0.094, 0.717], [0.906, 0.906, 0.283], [0.500, 0.500, 0.500], [0.000, 0.000, 0.000]]
}


{
  "formula": "EuThTl",
  "functional": "PBE",
  "state": "optimized geometry",
  "ef_kcal_per_mol_atoms": 0.79,
  "polymorph_energy_ev_per_atom": 0.090,
  "cell": [[3.651, 0.000, 0.000], [0.000, 5.519, 0.000], [0.000, -2.759, 4.779]],
  "species": ["Eu", "Tl", "Th"],
  "fractional_positions": [[0.359, 0.333, 0.667], [0.728, 0.667, 0.333], [0.913, 0.000, 0.000]]
}


{
  "formula": "Eu2ThTl",
  "functional": "PBE",
  "state": "optimized geometry",
  "ef_kcal_per_mol_atoms": -1.67,
  "polymorph_energy_ev_per_atom": 0.000,
  "cell": [[-3.097, 1.775, -0.810], [-1.236, -0.610, 3.391], [4.074, 8.481, 3.010]],
  "species": ["Eu", "Eu", "Tl", "Th"],
  "fractional_positions": [[0.000, 0.000, 0.770], [0.000, 0.000, 0.230], [0.500, 0.500, 0.000], [0.500, 0.500, 0.500]]
}


{
  "formula": "Eu2ThTl",
  "functional": "PBE",
  "state": "optimized geometry",
  "ef_kcal_per_mol_atoms": -0.59,
  "polymorph_energy_ev_per_atom": 0.047,
  "cell": [[5.239, 0.000, 0.000], [0.000, 4.937, 0.000], [0.000, 0.000, 4.937]],
  "species": ["Eu", "Eu", "Tl", "Th"],
  "fractional_positions": [[0.000, 0.000, 0.500], [0.000, 0.500, 0.000], [0.500, 0.500, 0.500], [0.500, 0.000, 0.000]]
}


{
  "formula": "EuThTl",
  "functional": "PBE",
  "state": "optimized geometry",
  "ef_kcal_per_mol_atoms": -1.27,
  "polymorph_energy_ev_per_atom": 0.000,
  "cell": [[3.615, 0.000, 0.000], [0.000, 3.615, 0.000], [-1.807, -1.807, 7.418]],
  "species": ["Eu", "Tl", "Th"],
  "fractional_positions": [[0.297, 0.297, 0.593], [0.950, 0.950, 0.899], [0.604, 0.604, 0.208]]
}


{
  "formula": "Eu2YTh",
  "functional": "PBE",
  "state": "optimized geometry",
  "ef_kcal_per_mol_atoms": 6.00,
  "cell": [[-3.108, -1.722, 0.055], [-1.155, -1.485, 3.014], [-7.514, 10.027, 4.155]],
  "species": ["Eu", "Eu", "Y", "Th"],
  "fractional_positions": [[0.088, 0.088, 0.735], [0.912, 0.912, 0.265], [0.500, 0.500, 0.500], [0.000, 0.000, 0.000]]
}


Number 1: M_tot 7.91 Bohr magnetons per cell. Number 2: M_tot 7.80 Bohr magnetons per cell. Number 3: M_tot 9.99 Bohr magnetons per cell. Number 4: M_tot 7.59 Bohr magnetons per cell. Number 5: M_tot 14.57 Bohr magnetons per cell. Number 6: M_tot 6.71 Bohr magnetons per cell. Number 7: M_tot 6.94 Bohr magnetons per cell. Number 8: M_tot 6.81 Bohr magnetons per cell. Number 9: M_tot 13.68 Bohr magnetons per cell. Number 10: M_tot 7.10 Bohr magnetons per cell. Number 11: M_tot 7.96 Bohr magnetons per cell. Number 12: M_tot 14.29 Bohr magnetons per cell. Number 13: M_tot 44.40 Bohr magnetons per cell. Number 14: M_tot 7.11 Bohr magnetons per cell. Number 15: M_tot 14.90 Bohr magnetons per cell. Number 16: M_tot 7.63 Bohr magnetons per cell. Number 17: M_tot 14.16 Bohr magnetons per cell. Number 18: M_tot 15.04 Bohr magnetons per cell. Number 19: M_tot 7.45 Bohr magnetons per cell. Number 20: M_tot 15.26 Bohr magnetons per cell.